A plane-wave DFT calculation with PBE+U was carried out for a relaxed Li4Nb3V3Sn2O16 crystal.

* calculated total energy: -206.15 eV for the cell shown
* V: 11.5 Å³/atom

Unit cell a=6.087 b=6.087 c=10.132 alpha=90.49 beta=90.49 gamma=59.21
Atoms (fractional coordinates):
1 Li 0.000 0.000 0.000
2 Li 0.002 0.002 0.502
3 Li 0.337 0.337 0.915
4 Li 0.667 0.667 0.403
5 Nb 0.172 0.172 0.229
6 Nb 0.368 0.821 0.724
7 Nb 0.821 0.368 0.724
8 V 0.182 0.652 0.223
9 V 0.652 0.182 0.223
10 V 0.831 0.831 0.726
11 Sn 0.342 0.342 0.501
12 Sn 0.678 0.678 0.007
13 O 0.005 0.005 0.318
14 O 0.005 0.005 0.818
15 O 0.036 0.478 0.351
16 O 0.175 0.175 0.612
17 O 0.177 0.682 0.611
18 O 0.324 0.324 0.110
19 O 0.335 0.845 0.113
20 O 0.478 0.036 0.351
21 O 0.483 0.483 0.356
22 O 0.513 0.971 0.856
23 O 0.520 0.520 0.866
24 O 0.677 0.677 0.593
25 O 0.682 0.177 0.611
26 O 0.845 0.335 0.113
27 O 0.847 0.847 0.107
28 O 0.971 0.513 0.856